The following is a PBE-GGA calculation of a relaxed structure of Sr3Pm2AgTe6, from the Alexandria database.

Cell lengths 7.9649, 13.7900, 7.9480 Å; angles 90.00, 109.54, 90.00 degrees
Space group C2/m (No. 12)
Inequivalent atoms, fractional coordinates:
Sr: 0.0000 0.0000 0.0000 x2
Sr: 0.0000 0.3338 0.0000 x4
Pm: 0.0000 0.1668 0.5000 x4
Ag: 0.0000 0.5000 0.5000 x2
Te: 0.2433 0.3343 0.7330 x8
Te: 0.2461 0.0000 0.7325 x4

Final energy in eV/atom: -4.384
ΔE_f (raw) in meV per atom: -1363.4



The following is a PBE-GGA calculation of a relaxed structure of SrPmAgTe3, from the Alexandria database.

Cell lengths 9.1207, 4.4742, 10.0707 Å; angles 90.00, 103.65, 90.00 degrees
Space group P2_1/m (No. 11)
Inequivalent atoms, fractional coordinates:
Sr: 0.1918 0.2500 0.2473 x2
Pm: 0.3225 0.7500 0.8316 x2
Ag: 0.0837 0.2500 0.5841 x2
Te: 0.0907 0.2500 0.8695 x2
Te: 0.2508 0.7500 0.5121 x2
Te: 0.4307 0.7500 0.1597 x2

Final energy in eV/atom: -4.343
ΔE_f (raw) in meV per atom: -1224.9



The following is a PBE-GGA calculation of a relaxed structure of SrPm2Tl2Ag2, from the Alexandria database.

Cell lengths 5.0024, 5.0024, 28.7623 Å; angles 90.00, 90.00, 120.00 degrees
Space group R-3m (No. 166, hexagonal axes)
Inequivalent atoms, fractional coordinates:
Sr: 0.0000 0.0000 0.0000 x3
Pm: 0.0000 0.0000 0.1269 x6
Tl: 0.0000 0.0000 0.2531 x6
Ag: 0.0000 0.0000 0.4103 x6

Final energy in eV/atom: -3.308
ΔE_f in kJ/mol of formula units: -148



The following is a PBE-GGA calculation of a relaxed structure of TbPmAg, from the Alexandria database.

Cell lengths 7.1175, 5.1444, 9.2279 Å; angles 90.00, 90.00, 90.00 degrees
Space group Pnma (No. 62)
Inequivalent atoms, fractional coordinates:
Tb: 0.1534 0.2500 0.0797 x4
Pm: 0.0122 0.2500 0.6852 x4
Ag: 0.2415 0.2500 0.4000 x4

Final energy in eV/atom: -4.254
ΔE_f in kJ/mol of formula units: -51



The following is a PBE-GGA calculation of a relaxed structure of Tb5PmAg6, from the Alexandria database.

Cell lengths 5.2066, 7.2678, 8.2288 Å; angles 90.00, 108.20, 90.00 degrees
Space group P2/m (No. 10)
Inequivalent atoms, fractional coordinates:
Tb: 0.0000 0.0000 0.0000 x1
Tb: 0.3326 0.5000 0.6652 x2
Tb: 0.3340 0.0000 0.6681 x2
Pm: 0.0000 0.5000 0.0000 x1
Ag: 0.1688 0.2470 0.3377 x4
Ag: 0.5000 0.2442 0.0000 x2

Final energy in eV/atom: -4.058
ΔE_f in kJ/mol of formula units: -356



The following is a PBE-GGA calculation of a relaxed structure of Tb2PmAg6, from the Alexandria database.

Cell lengths 14.1246, 11.0733, 5.3535 Å; angles 90.00, 100.71, 90.00 degrees
Space group C2/c (No. 15)
Inequivalent atoms, fractional coordinates:
Tb: 0.1668 0.1242 0.0863 x8
Pm: 0.0000 0.3749 0.2500 x4
Ag: 0.0552 0.1214 0.5294 x8
Ag: 0.1133 0.3700 0.8066 x8
Ag: 0.2254 0.3741 0.3576 x8

Final energy in eV/atom: -3.646
ΔE_f in kJ/mol of formula units: -164